Record 1
{"formula": "Re2TeRh", "functional": "PBE", "state": "relaxed", "spacegroup": "I-4m2 (119)", "raw_formation_energy_mev_per_atom": 543, "volume_a3_per_atom": 16.07, "cell": [[-2.0338, 2.0338, 3.8860], [2.0338, -2.0338, 3.8860], [2.0338, 2.0338, -3.8860]], "species": ["Re", "Re", "Te", "Rh"], "fractional_positions": [[0.0000, 0.0000, 0.0000], [0.7500, 0.2500, 0.5000], [0.5000, 0.5000, 0.0000], [0.2500, 0.7500, 0.5000]]}

Record 2
{"formula": "Pm5NdHo3", "functional": "PBE", "state": "relaxed", "spacegroup": "I4/mcm (140)", "de_polymorph_kcal_per_mol_atoms": 3.606, "volume_a3_per_atom": 33.97, "cell": [[-4.1501, 4.1501, 8.8745], [4.1501, -4.1501, 8.8745], [4.1501, 4.1501, -8.8745]], "species": ["Pm", "Pm", "Pm", "Pm", "Pm", "Pm", "Pm", "Pm", "Pm", "Pm", "Nd", "Nd", "Ho", "Ho", "Ho", "Ho", "Ho", "Ho"], "fractional_positions": [[0.0000, 0.0000, 0.0000], [0.0652, 0.5652, 0.9011], [0.1641, 0.0652, 0.5000], [0.3359, 0.8359, 0.9011], [0.4348, 0.3359, 0.5000], [0.5000, 0.5000, 0.0000], [0.5652, 0.6641, 0.5000], [0.6641, 0.1641, 0.0989], [0.8359, 0.9348, 0.5000], [0.9348, 0.4348, 0.0989], [0.2500, 0.7500, 0.5000], [0.7500, 0.2500, 0.5000], [0.1259, 0.3741, 0.5000], [0.2500, 0.2500, 0.0000], [0.3741, 0.8741, 0.2481], [0.6259, 0.1259, 0.7519], [0.7500, 0.7500, 0.0000], [0.8741, 0.6259, 0.5000]]}

One value per record, in order, for DOS at the Fermi energy: 3.25, 24.89 states/eV/cell.